{
  "formula": "MnRuAu2",
  "functional": "PBE-GGA",
  "state": "relaxed",
  "e_tot_ha_per_atom": -0.2175,
  "space_group": "R-3m, No. 166",
  "lattice_angstrom": [[2.875, 0.000, 0.000], [-1.438, 2.490, 0.000], [0.000, 0.000, 27.115]],
  "species": ["Mn", "Mn", "Mn", "Ru", "Ru", "Ru", "Au", "Au", "Au", "Au", "Au", "Au"],
  "frac_coords": [[0.000, 0.000, 0.000], [0.333, 0.667, 0.667], [0.667, 0.333, 0.333], [0.000, 0.000, 0.500], [0.333, 0.667, 0.167], [0.667, 0.333, 0.833], [0.000, 0.000, 0.252], [0.000, 0.000, 0.748], [0.333, 0.667, 0.414], [0.333, 0.667, 0.919], [0.667, 0.333, 0.081], [0.667, 0.333, 0.586]]
}



{
  "formula": "MnRu2Au",
  "functional": "PBE-GGA",
  "state": "relaxed",
  "e_tot_ha_per_atom": -0.2698,
  "space_group": "F-43m, No. 216",
  "lattice_angstrom": [[6.246, 0.000, 0.000], [0.000, 6.246, 0.000], [0.000, 0.000, 6.246]],
  "species": ["Mn", "Mn", "Mn", "Mn", "Ru", "Ru", "Ru", "Ru", "Ru", "Ru", "Ru", "Ru", "Au", "Au", "Au", "Au"],
  "frac_coords": [[0.000, 0.000, 0.000], [0.000, 0.500, 0.500], [0.500, 0.000, 0.500], [0.500, 0.500, 0.000], [0.000, 0.000, 0.500], [0.000, 0.500, 0.000], [0.250, 0.250, 0.750], [0.250, 0.750, 0.250], [0.500, 0.000, 0.000], [0.500, 0.500, 0.500], [0.750, 0.250, 0.250], [0.750, 0.750, 0.750], [0.250, 0.250, 0.250], [0.250, 0.750, 0.750], [0.750, 0.250, 0.750], [0.750, 0.750, 0.250]]
}



{
  "formula": "MnRu2Au",
  "functional": "PBE-GGA",
  "state": "relaxed",
  "e_tot_ha_per_atom": -0.2758,
  "space_group": "P4/mmm, No. 123",
  "lattice_angstrom": [[2.884, 0.000, 0.000], [0.000, 2.884, 0.000], [0.000, 0.000, 7.062]],
  "species": ["Mn", "Ru", "Ru", "Au"],
  "frac_coords": [[0.000, 0.000, 0.000], [0.500, 0.500, 0.211], [0.500, 0.500, 0.789], [0.000, 0.000, 0.500]]
}



{
  "formula": "MnRu2Au",
  "functional": "PBE-GGA",
  "state": "relaxed",
  "e_tot_ha_per_atom": -0.2795,
  "space_group": "Pmm2, No. 25",
  "lattice_angstrom": [[2.819, 0.000, 0.000], [0.000, 3.784, 0.000], [0.000, 0.000, 5.614]],
  "species": ["Mn", "Ru", "Ru", "Au"],
  "frac_coords": [[0.000, 0.000, 0.000], [0.000, 0.000, 0.453], [0.500, 0.500, 0.251], [0.500, 0.500, 0.745]]
}



{
  "formula": "MnRu2Au",
  "functional": "PBE-GGA",
  "state": "relaxed",
  "e_tot_ha_per_atom": -0.2758,
  "space_group": "R3m, No. 160",
  "lattice_angstrom": [[2.782, 0.000, 0.000], [-1.391, 2.410, 0.000], [0.000, 0.000, 26.780]],
  "species": ["Mn", "Mn", "Mn", "Ru", "Ru", "Ru", "Ru", "Ru", "Ru", "Au", "Au", "Au"],
  "frac_coords": [[0.000, 0.000, 0.000], [0.333, 0.667, 0.667], [0.667, 0.333, 0.333], [0.000, 0.000, 0.254], [0.000, 0.000, 0.510], [0.333, 0.667, 0.176], [0.333, 0.667, 0.920], [0.667, 0.333, 0.587], [0.667, 0.333, 0.843], [0.000, 0.000, 0.752], [0.333, 0.667, 0.418], [0.667, 0.333, 0.085]]
}



{
  "formula": "MnRuAu2",
  "functional": "PBE-GGA",
  "state": "relaxed",
  "e_tot_ha_per_atom": -0.2060,
  "space_group": "Fm-3m, No. 225",
  "lattice_angstrom": [[6.261, 0.000, 0.000], [0.000, 6.261, 0.000], [0.000, 0.000, 6.261]],
  "species": ["Mn", "Mn", "Mn", "Mn", "Ru", "Ru", "Ru", "Ru", "Au", "Au", "Au", "Au", "Au", "Au", "Au", "Au"],
  "frac_coords": [[0.000, 0.000, 0.000], [0.000, 0.500, 0.500], [0.500, 0.000, 0.500], [0.500, 0.500, 0.000], [0.000, 0.000, 0.500], [0.000, 0.500, 0.000], [0.500, 0.000, 0.000], [0.500, 0.500, 0.500], [0.250, 0.250, 0.250], [0.250, 0.250, 0.750], [0.250, 0.750, 0.250], [0.250, 0.750, 0.750], [0.750, 0.250, 0.250], [0.750, 0.250, 0.750], [0.750, 0.750, 0.250], [0.750, 0.750, 0.750]]
}